(A)
Below is a geometry-optimized MnReRu2 structure, with properties calculated at the PBEsol level.

Structure (CIF):
```
data_MnReRu2
_chemical_formula_sum 'Mn1 Re1 Ru2'
_cell_length_a 4.574
_cell_length_b 4.574
_cell_length_c 2.669
_cell_angle_alpha 90.00
_cell_angle_beta 90.00
_cell_angle_gamma 109.13
_space_group_name_H-M_alt 'P 1'
_space_group_IT_number 1
_space_group_name_Hall 'P 1'
loop_
_atom_site_label
_atom_site_type_symbol
_atom_site_fract_x
_atom_site_fract_y
_atom_site_fract_z
Mn1 Mn 0.000 0.000 0.000
Re1 Re 0.500 0.500 0.000
Ru1 Ru 0.000 0.500 0.500
Ru2 Ru 0.500 0.000 0.500
```

The density comes out at 13951 kg/m³. The space-group type is Cmmm, No. 65. The density of states at the Fermi level is 4.9 states/eV/cell.


(B)
Below is a geometry-optimized MnReRu2 structure, with properties calculated at the PBEsol level.

Structure (CIF):
```
data_MnReRu2
_chemical_formula_sum 'Mn1 Re1 Ru2'
_cell_length_a 4.571
_cell_length_b 4.571
_cell_length_c 4.578
_cell_angle_alpha 99.68
_cell_angle_beta 99.68
_cell_angle_gamma 33.74
_space_group_name_H-M_alt 'P 1'
_space_group_IT_number 1
_space_group_name_Hall 'P 1'
loop_
_atom_site_label
_atom_site_type_symbol
_atom_site_fract_x
_atom_site_fract_y
_atom_site_fract_z
Mn1 Mn 0.000 0.000 0.000
Re1 Re 0.500 0.500 0.500
Ru1 Ru 0.253 0.253 0.759
Ru2 Ru 0.747 0.747 0.241
```

The density comes out at 14074 kg/m³. The space-group type is C2/m, No. 12. The density of states at the Fermi level is 4.2 states/eV/cell.


The data favor (B); the next most stable structure lies 0.006 eV/atom above it.


(A)
Below is a geometry-optimized MnReSi2 structure, with properties calculated at the PBEsol level.

Structure (CIF):
```
data_MnReSi2
_chemical_formula_sum 'Mn1 Re1 Si2'
_cell_length_a 4.066
_cell_length_b 4.066
_cell_length_c 2.910
_cell_angle_alpha 90.00
_cell_angle_beta 90.00
_cell_angle_gamma 90.00
_space_group_name_H-M_alt 'P 1'
_space_group_IT_number 1
_space_group_name_Hall 'P 1'
loop_
_atom_site_label
_atom_site_type_symbol
_atom_site_fract_x
_atom_site_fract_y
_atom_site_fract_z
Mn1 Mn 0.000 0.000 0.000
Re1 Re 0.500 0.500 0.000
Si1 Si 0.000 0.500 0.500
Si2 Si 0.500 0.000 0.500
```

The density comes out at 10258 kg/m³. The space-group type is P4/mmm, No. 123. The density of states at the Fermi level is 3.6 states/eV/cell.


(B)
Below is a geometry-optimized MnReSi2 structure, with properties calculated at the PBEsol level.

Structure (CIF):
```
data_MnReSi2
_chemical_formula_sum 'Mn1 Re1 Si2'
_cell_length_a 3.028
_cell_length_b 3.028
_cell_length_c 5.331
_cell_angle_alpha 90.00
_cell_angle_beta 90.00
_cell_angle_gamma 90.00
_space_group_name_H-M_alt 'P 1'
_space_group_IT_number 1
_space_group_name_Hall 'P 1'
loop_
_atom_site_label
_atom_site_type_symbol
_atom_site_fract_x
_atom_site_fract_y
_atom_site_fract_z
Mn1 Mn 0.000 0.000 0.000
Re1 Re 0.500 0.500 0.323
Si1 Si 0.000 0.000 0.546
Si2 Si 0.500 0.500 0.809
```

The density comes out at 10098 kg/m³. The space-group type is P4mm, No. 99. The density of states at the Fermi level is 2.9 states/eV/cell.


The data favor (B); the next most stable structure lies 0.078 eV/atom above it.


(A)
Below is a geometry-optimized MnRe2Tc structure, with properties calculated at the PBEsol level.

Structure (CIF):
```
data_MnRe2Tc
_chemical_formula_sum 'Mn1 Re2 Tc1'
_cell_length_a 4.636
_cell_length_b 4.636
_cell_length_c 2.686
_cell_angle_alpha 90.00
_cell_angle_beta 90.00
_cell_angle_gamma 109.27
_space_group_name_H-M_alt 'P 1'
_space_group_IT_number 1
_space_group_name_Hall 'P 1'
loop_
_atom_site_label
_atom_site_type_symbol
_atom_site_fract_x
_atom_site_fract_y
_atom_site_fract_z
Mn1 Mn 0.000 0.000 0.000
Re1 Re 0.000 0.500 0.500
Re2 Re 0.500 0.000 0.500
Tc1 Tc 0.500 0.500 0.000
```

The density comes out at 16009 kg/m³. The space-group type is Cmmm, No. 65. The density of states at the Fermi level is 4.0 states/eV/cell.


(B)
Below is a geometry-optimized MnRe2Tc structure, with properties calculated at the PBEsol level.

Structure (CIF):
```
data_MnRe2Tc
_chemical_formula_sum 'Mn1 Re2 Tc1'
_cell_length_a 2.685
_cell_length_b 2.685
_cell_length_c 7.464
_cell_angle_alpha 90.00
_cell_angle_beta 90.00
_cell_angle_gamma 90.00
_space_group_name_H-M_alt 'P 1'
_space_group_IT_number 1
_space_group_name_Hall 'P 1'
loop_
_atom_site_label
_atom_site_type_symbol
_atom_site_fract_x
_atom_site_fract_y
_atom_site_fract_z
Mn1 Mn 0.000 0.000 0.000
Re1 Re 0.500 0.500 0.233
Re2 Re 0.500 0.500 0.767
Tc1 Tc 0.000 0.000 0.500
```

The density comes out at 16212 kg/m³. The space-group type is P4/mmm, No. 123. The density of states at the Fermi level is 4.2 states/eV/cell.


The data favor (B); the next most stable structure lies 0.035 eV/atom above it.


(A)
Below is a geometry-optimized MnTlRe2 structure, with properties calculated at the PBEsol level.

Structure (CIF):
```
data_MnTlRe2
_chemical_formula_sum 'Mn1 Tl1 Re2'
_cell_length_a 3.268
_cell_length_b 4.288
_cell_length_c 4.451
_cell_angle_alpha 90.00
_cell_angle_beta 90.00
_cell_angle_gamma 90.00
_space_group_name_H-M_alt 'P 1'
_space_group_IT_number 1
_space_group_name_Hall 'P 1'
loop_
_atom_site_label
_atom_site_type_symbol
_atom_site_fract_x
_atom_site_fract_y
_atom_site_fract_z
Mn1 Mn 0.000 0.000 0.000
Tl1 Tl 0.500 0.500 0.000
Re1 Re 0.000 0.500 0.500
Re2 Re 0.500 0.000 0.500
```

The density comes out at 16818 kg/m³. The space-group type is Pmmm, No. 47. The density of states at the Fermi level is 3.6 states/eV/cell.


(B)
Below is a geometry-optimized MnTlRe2 structure, with properties calculated at the PBEsol level.

Structure (CIF):
```
data_MnTlRe2
_chemical_formula_sum 'Mn1 Tl1 Re2'
_cell_length_a 4.881
_cell_length_b 4.881
_cell_length_c 4.749
_cell_angle_alpha 102.83
_cell_angle_beta 102.83
_cell_angle_gamma 33.80
_space_group_name_H-M_alt 'P 1'
_space_group_IT_number 1
_space_group_name_Hall 'P 1'
loop_
_atom_site_label
_atom_site_type_symbol
_atom_site_fract_x
_atom_site_fract_y
_atom_site_fract_z
Mn1 Mn 0.000 0.000 0.000
Tl1 Tl 0.500 0.500 0.500
Re1 Re 0.271 0.271 0.783
Re2 Re 0.729 0.729 0.217
```

The density comes out at 17135 kg/m³. The space-group type is C2/m, No. 12. The density of states at the Fermi level is 2.9 states/eV/cell.


The data favor (B); the next most stable structure lies 0.212 eV/atom above it.